# SmGaCo | OQMD | PBE | relaxed
# Total moment ... 0.319 μB per atom
# E_tot ... -53.0 eV for the cell shown
data_SmGaCo
_space_group_name_H-M_alt 'F -4 3 m'
_space_group_IT_number 216
_space_group_name_Hall 'F -4 2 3'
_cell_length_a 6.5740
_cell_length_b 6.5740
_cell_length_c 6.5740
_cell_angle_alpha 90.00
_cell_angle_beta 90.00
_cell_angle_gamma 90.00
loop_
_atom_site_label
_atom_site_type_symbol
_atom_site_fract_x
_atom_site_fract_y
_atom_site_fract_z
Sm1 Sm 0.0000 0.0000 0.0000
Ga1 Ga 0.2500 0.2500 0.2500
Co1 Co 0.2500 0.2500 0.7500